Entry 1:
# Hg2BiPb2, optimized geometry, DFT PBE-GGA
# Fermi-level density of states   3.72 states/eV per cell
# Total DFT energy (no corrections)   -23.23 eV per cell
# Relative energy among the computed polymorphs   0.0087 eV/atom
# M_tot   0.0 Bohr magnetons per cell
# ΔE_f   0.28 eV per formula unit
data_Hg2BiPb2
_chemical_formula_sum 'Hg4 Bi2 Pb4'
_symmetry_space_group_name_H-M 'I 4/m m m'
_symmetry_Int_Tables_number 139
_symmetry_space_group_name_Hall '-I 4 2'
_cell_length_a 4.2459
_cell_length_b 4.2459
_cell_length_c 17.3855
_cell_angle_alpha 90.00
_cell_angle_beta 90.00
_cell_angle_gamma 90.00
loop_
_atom_site_label
_atom_site_fract_x
_atom_site_fract_y
_atom_site_fract_z
Hg1 0.0000 0.5000 0.2500
Bi1 0.0000 0.0000 0.0000
Pb1 0.0000 0.0000 0.4039

=====

Entry 2:
# HgSeI2, optimized geometry, DFT PBE-GGA
# Formation energy from raw total energies   -0.101 eV/atom
# Total DFT energy (no corrections)   -14.58 eV per cell
# Relative energy among the computed polymorphs   0.0622 eV/atom
# M_tot   0.0 Bohr magnetons per cell
data_HgSeI2
_chemical_formula_sum 'Hg2 Se2 I4'
_symmetry_space_group_name_H-M 'P 1'
_symmetry_Int_Tables_number 1
_cell_length_a 6.3688
_cell_length_b 6.7722
_cell_length_c 8.0618
_cell_angle_alpha 103.36
_cell_angle_beta 93.19
_cell_angle_gamma 97.11
loop_
_symmetry_equiv_pos_as_xyz
'x,y,z'
loop_
_atom_site_label
_atom_site_fract_x
_atom_site_fract_y
_atom_site_fract_z
Hg1 0.0000 0.0000 0.0000
Hg2 0.3468 0.8747 0.6104
Se1 0.3662 0.1323 0.9125
Se2 0.6300 0.9302 0.0956
I1 0.1015 0.3830 0.7933
I2 0.1694 0.7144 0.2882
I3 0.6567 0.2469 0.3592
I4 0.7132 0.6591 0.6652

=====

Entry 3:
# Rb2ReBiOs, optimized geometry, DFT PBE-GGA
# Fermi-level density of states   6.94 states/eV per cell
# Total DFT energy (no corrections)   -21.51 eV per cell
# M_tot   1.1 Bohr magnetons per cell
# ΔE_f   7.99 eV per formula unit
data_Rb2ReBiOs
_chemical_formula_sum 'Rb2 Re1 Bi1 Os1'
_symmetry_space_group_name_H-M 'P 4/m m m'
_symmetry_Int_Tables_number 123
_symmetry_space_group_name_Hall '-P 4 2'
_cell_length_a 6.7530
_cell_length_b 6.7530
_cell_length_c 4.5636
_cell_angle_alpha 90.00
_cell_angle_beta 90.00
_cell_angle_gamma 90.00
loop_
_atom_site_label
_atom_site_fract_x
_atom_site_fract_y
_atom_site_fract_z
Rb1 0.0000 0.5000 0.0000
Re1 0.0000 0.0000 0.0000
Bi1 0.5000 0.5000 0.5000
Os1 0.0000 0.0000 0.5000

=====

Entry 4:
# Ce2USe2N2, optimized geometry, DFT PBE-GGA
# Formation energy from raw total energies   -1.526 eV/atom
# Fermi-level density of states   28.32 states/eV per cell
# Total DFT energy (no corrections)   -114.91 eV per cell
# M_tot   8.0 Bohr magnetons per cell
data_Ce2USe2N2
_chemical_formula_sum 'Ce4 U2 Se4 N4'
_symmetry_space_group_name_H-M 'I 4/m m m'
_symmetry_Int_Tables_number 139
_symmetry_space_group_name_Hall '-I 4 2'
_cell_length_a 4.3436
_cell_length_b 4.3436
_cell_length_c 15.4852
_cell_angle_alpha 90.00
_cell_angle_beta 90.00
_cell_angle_gamma 90.00
loop_
_atom_site_label
_atom_site_fract_x
_atom_site_fract_y
_atom_site_fract_z
Ce1 0.0000 0.0000 0.1177
U1 0.0000 0.0000 0.5000
Se1 0.0000 0.0000 0.3171
N1 0.0000 0.5000 0.0000

=====

Entry 5:
# DySF, optimized geometry, DFT PBE-GGA
# Formation energy from raw total energies   -2.922 eV/atom
# Fermi-level density of states   0.00 states/eV per cell
# Total DFT energy (no corrections)   -38.73 eV per cell
# M_tot   0.0 Bohr magnetons per cell
data_DySF
_chemical_formula_sum 'Dy2 S2 F2'
_symmetry_space_group_name_H-M 'P m m n'
_symmetry_Int_Tables_number 59
_cell_length_a 3.7742
_cell_length_b 5.3748
_cell_length_c 6.9197
_cell_angle_alpha 90.00
_cell_angle_beta 90.00
_cell_angle_gamma 90.00
loop_
_symmetry_equiv_pos_as_xyz
'x,y,z'
'-x,-y,-z'
'-x+1/2,-y+1/2,z'
'x+1/2,y+1/2,-z'
'x+1/2,-y,-z'
'-x+1/2,y,z'
'-x,y+1/2,-z'
'x,-y+1/2,z'
loop_
_atom_site_label
_atom_site_fract_x
_atom_site_fract_y
_atom_site_fract_z
Dy1 0.2500 0.2500 0.1726
S1 0.2500 0.7500 0.1223
F1 0.2500 0.7500 0.6600

=====

Entry 6:
# NaRe, optimized geometry, DFT PBE-GGA
# Fermi-level density of states   8.96 states/eV per cell
# Total DFT energy (no corrections)   -70.52 eV per cell
# Relative energy among the computed polymorphs   0.3016 eV/atom
# M_tot   0.0 Bohr magnetons per cell
# ΔE_f   2.01 eV per formula unit
data_NaRe
_chemical_formula_sum 'Na6 Re6'
_symmetry_space_group_name_H-M 'C m m m'
_symmetry_Int_Tables_number 65
_symmetry_space_group_name_Hall '-C 2 2'
_cell_length_a 5.1212
_cell_length_b 9.7664
_cell_length_c 4.2209
_cell_angle_alpha 90.00
_cell_angle_beta 90.00
_cell_angle_gamma 90.00
loop_
_atom_site_label
_atom_site_fract_x
_atom_site_fract_y
_atom_site_fract_z
Na1 0.0000 0.0000 0.0000
Na2 0.0000 0.1639 0.5000
Re1 0.0000 0.3538 0.0000
Re2 0.0000 0.5000 0.5000

=====

Entry 7:
# BeSb4, optimized geometry, DFT PBE-GGA
# Formation energy from raw total energies   0.450 eV/atom
# Fermi-level density of states   3.27 states/eV per cell
# Total DFT energy (no corrections)   -17.97 eV per cell
# Relative energy among the computed polymorphs   0.1415 eV/atom
# M_tot   0.0 Bohr magnetons per cell
data_BeSb4
_chemical_formula_sum 'Be1 Sb4'
_symmetry_space_group_name_H-M 'P m -3 m'
_symmetry_Int_Tables_number 221
_symmetry_space_group_name_Hall '-P 4 2 3'
_cell_length_a 4.9884
_cell_length_b 4.9884
_cell_length_c 4.9884
_cell_angle_alpha 90.00
_cell_angle_beta 90.00
_cell_angle_gamma 90.00
loop_
_atom_site_label
_atom_site_fract_x
_atom_site_fract_y
_atom_site_fract_z
Be1 0.0000 0.0000 0.0000
Sb1 0.0000 0.0000 0.5000
Sb2 0.5000 0.5000 0.5000

=====

Entry 8:
# HfAsSe2F, optimized geometry, DFT PBE-GGA
# Formation energy from raw total energies   -0.037 eV/atom
# Fermi-level density of states   4.82 states/eV per cell
# Total DFT energy (no corrections)   -23.63 eV per cell
# Relative energy among the computed polymorphs   0.2414 eV/atom
# M_tot   0.0 Bohr magnetons per cell
data_HfAsSe2F
_chemical_formula_sum 'Hf1 As1 Se2 F1'
_symmetry_space_group_name_H-M 'P 4/m m m'
_symmetry_Int_Tables_number 123
_symmetry_space_group_name_Hall '-P 4 2'
_cell_length_a 4.8529
_cell_length_b 4.8529
_cell_length_c 4.0558
_cell_angle_alpha 90.00
_cell_angle_beta 90.00
_cell_angle_gamma 90.00
loop_
_atom_site_label
_atom_site_fract_x
_atom_site_fract_y
_atom_site_fract_z
Hf1 0.0000 0.0000 0.0000
As1 0.5000 0.5000 0.0000
Se1 0.0000 0.5000 0.5000
F1 0.5000 0.5000 0.5000

=====

Entry 9:
# Na4Hg2Au, optimized geometry, DFT PBE-GGA
# Fermi-level density of states   8.06 states/eV per cell
# Total DFT energy (no corrections)   -31.66 eV per cell
# Relative energy among the computed polymorphs   0.0398 eV/atom
# M_tot   0.0 Bohr magnetons per cell
# ΔE_f   -1.40 eV per formula unit
data_Na4Hg2Au
_chemical_formula_sum 'Na12 Hg6 Au3'
_symmetry_space_group_name_H-M 'R -3 m'
_symmetry_Int_Tables_number 166
_symmetry_space_group_name_Hall '-R 3 2"'
_cell_length_a 4.9291
_cell_length_b 4.9291
_cell_length_c 30.1983
_cell_angle_alpha 90.00
_cell_angle_beta 90.00
_cell_angle_gamma 120.00
loop_
_atom_site_label
_atom_site_fract_x
_atom_site_fract_y
_atom_site_fract_z
Na1 0.0000 0.0000 0.1287
Na2 0.0000 0.0000 0.2997
Hg1 0.0000 0.0000 0.4069
Au1 0.0000 0.0000 0.5000

=====

Entry 10:
# HfFe4Os, optimized geometry, DFT PBE-GGA
# Fermi-level density of states   27.96 states/eV per cell
# Total DFT energy (no corrections)   -223.40 eV per cell
# M_tot   36.4 Bohr magnetons per cell
# ΔE_f   -0.82 eV per formula unit
data_HfFe4Os
_chemical_formula_sum 'Hf4 Fe16 Os4'
_symmetry_space_group_name_H-M 'F -4 3 m'
_symmetry_Int_Tables_number 216
_symmetry_space_group_name_Hall 'F -4 2 3'
_cell_length_a 6.8289
_cell_length_b 6.8289
_cell_length_c 6.8289
_cell_angle_alpha 90.00
_cell_angle_beta 90.00
_cell_angle_gamma 90.00
loop_
_atom_site_label
_atom_site_fract_x
_atom_site_fract_y
_atom_site_fract_z
Hf1 0.0000 0.0000 0.0000
Fe1 0.1243 0.1243 0.6243
Os1 0.2500 0.2500 0.2500

=====

Q: Which formula does entry 7 have?
A: BeSb4

=====

Q: Number 8 is which compound?
A: HfAsSe2F

=====

Q: The highest total DFT energy (no corrections) belongs to which entry?
A: HgSeI2

=====

Q: M_tot of number 8 (HfAsSe2F)?
A: 0.0 Bohr magnetons per cell